# Ba3MnAu2O6, optimized geometry, DFT PBE with a Hubbard U
data_Ba3MnAu2O6
_cell_length_a 5.9400
_cell_length_b 5.9400
_cell_length_c 6.8181
_cell_angle_alpha 90.00
_cell_angle_beta 90.00
_cell_angle_gamma 120.00
_symmetry_space_group_name_H-M 'P -3 m 1'
_symmetry_Int_Tables_number 164
_symmetry_space_group_name_Hall '-P 3 2"'
loop_
_atom_site_label
_atom_site_type_symbol
_atom_site_fract_x
_atom_site_fract_y
_atom_site_fract_z
_atom_site_occupancy
Ba1 Ba 0.0000 0.0000 0.0000 1
Ba2 Ba 0.3333 0.6667 0.6337 1
Mn1 Mn 0.0000 0.0000 0.5000 1
Au1 Au 0.3333 0.6667 0.1346 1
O1 O 0.1572 0.3144 0.3298 1
# raw total energy: -66.71 eV/cell